! PBE SrS2F, relaxed; values from VASP
&SYSTEM
  ibrav = 0, nat = 8, ntyp = 3
/
ATOMIC_SPECIES
S 32.06 S.upf
F 19.00 F.upf
Sr 87.62 Sr.upf
CELL_PARAMETERS angstrom
-3.070 -0.642 -2.109
1.947 -2.485 -2.079
-3.670 -9.912 4.973
ATOMIC_POSITIONS crystal
S 0.875 0.771 0.750
F 0.500 0.500 0.000
S 0.521 0.125 0.250
F 0.250 0.750 0.500
S 0.229 0.625 0.250
Sr 0.000 0.000 0.000
Sr 0.750 0.250 0.500
S 0.375 0.479 0.750
! ρ: 3.49 Mg/m³
! ΔE_f (raw): -1.62 eV per atom
! total magnetic moment: 0.00 μB per cell
! symmetry: No. 122
! raw total energy: -4.571 eV per atom
! DOS(E_F): 0.64 states/eV per cell
! polymorph energy (0 for the lowest one): 0.0 kJ/mol of formula units

! PBE Ta2NbMo6W, relaxed; values from VASP
&SYSTEM
  ibrav = 0, nat = 10, ntyp = 4
/
ATOMIC_SPECIES
Mo 95.94 Mo.upf
Nb 92.91 Nb.upf
Ta 180.95 Ta.upf
W 183.84 W.upf
CELL_PARAMETERS angstrom
0.206 5.162 -2.199
-2.934 -1.535 -4.534
-4.885 1.473 2.343
ATOMIC_POSITIONS crystal
Mo 0.115 0.795 0.443
Mo 0.443 0.115 0.795
Mo 0.588 0.895 0.254
Nb 0.983 0.983 0.983
Ta 0.721 0.721 0.721
W 0.475 0.475 0.475
Mo 0.254 0.588 0.895
Mo 0.895 0.254 0.588
Ta 0.232 0.232 0.232
Mo 0.795 0.443 0.115
! ρ: 11.43 Mg/m³
! total magnetic moment: 0.00 μB per cell
! symmetry: No. 146
! raw total energy: -10.567 eV per atom
! DOS(E_F): 8.28 states/eV per cell